[1]
A plane-wave DFT calculation with PBE-GGA was carried out for an optimized crystal structure of Ag2Pd2Se.

Computed properties:
Symmetry: I4/mmm, No. 139

a = 3.7024 Å, b = 3.7024 Å, c = 13.8213 Å
α = 90.00°, β = 90.00°, γ = 90.00°
Last column: nearest neighbours and their distance in Å.
Fractional positions:
Ag  0.0000  0.5000  0.2500  4 Ag 2.62, 4 Pd 2.83
Ag  0.0000  0.5000  0.7500  4 Ag 2.62, 4 Pd 2.83
Ag  0.5000  0.0000  0.2500  4 Ag 2.62, 4 Pd 2.83
Ag  0.5000  0.0000  0.7500  4 Ag 2.62, 4 Pd 2.83
Pd  0.0000  0.0000  0.0952  1 Pd 2.63, 4 Ag 2.83, 4 Se 2.93
Pd  0.0000  0.0000  0.9048  1 Pd 2.63, 4 Ag 2.83, 4 Se 2.93
Pd  0.5000  0.5000  0.4048  1 Pd 2.63, 4 Ag 2.83, 4 Se 2.93
Pd  0.5000  0.5000  0.5952  1 Pd 2.63, 4 Ag 2.83, 4 Se 2.93
Se  0.0000  0.0000  0.5000  8 Pd 2.93
Se  0.5000  0.5000  0.0000  8 Pd 2.93

[2]
A plane-wave DFT calculation with PBE-GGA was carried out for an optimized crystal structure of Pm2SmPuO8.

Computed properties:
Symmetry: P-1, No. 2

a = 4.0249 Å, b = 5.5283 Å, c = 7.5543 Å
α = 89.94°, β = 89.98°, γ = 83.88°
Last column: nearest neighbours and their distance in Å.
Fractional positions:
Pm  0.9999  0.0006  0.2427  8 O 2.29-2.53
Pm  0.0001  0.9994  0.7573  8 O 2.29-2.53
Sm  0.5000  0.5000  0.0000  8 O 2.33-2.57
Pu  0.5000  0.5000  0.5000  6 O 1.98-2.12
O  0.0007  0.2478  0.9996  2 Pm 2.29, 1 Sm 2.33
O  0.0734  0.7151  0.5001  1 Pu 1.98
O  0.4552  0.2664  0.2809  1 Pu 2.12
O  0.4546  0.2678  0.7184  1 Pu 2.11
O  0.5454  0.7322  0.2816  1 Pu 2.11
O  0.5448  0.7336  0.7191  1 Pu 2.12
O  0.9266  0.2849  0.4999  1 Pu 1.98
O  0.9993  0.7522  0.0004  2 Pm 2.29, 1 Sm 2.33

[3]
A plane-wave DFT calculation with PBE-GGA was carried out for an optimized crystal structure of TmPaRuPt.

Computed properties:
Symmetry: F-43m, No. 216

a = 6.8941 Å, b = 6.8941 Å, c = 6.8941 Å
α = 90.00°, β = 90.00°, γ = 90.00°
Last column: nearest neighbours and their distance in Å.
Fractional positions:
Tm  0.0000  0.0000  0.0000  4 Pt 2.99, 4 Ru 2.99
Tm  0.0000  0.5000  0.5000  4 Pt 2.99, 4 Ru 2.99
Tm  0.5000  0.0000  0.5000  4 Pt 2.99, 4 Ru 2.99
Tm  0.5000  0.5000  0.0000  4 Pt 2.99, 4 Ru 2.99
Pa  0.0000  0.0000  0.5000  4 Ru 2.99, 4 Pt 2.99
Pa  0.0000  0.5000  0.0000  4 Ru 2.99, 4 Pt 2.99
Pa  0.5000  0.0000  0.0000  4 Ru 2.99, 4 Pt 2.99
Pa  0.5000  0.5000  0.5000  4 Ru 2.99, 4 Pt 2.99
Ru  0.2500  0.2500  0.7500  4 Pa 2.99, 4 Tm 2.99
Ru  0.2500  0.7500  0.2500  4 Pa 2.99, 4 Tm 2.99
Ru  0.7500  0.2500  0.2500  4 Pa 2.99, 4 Tm 2.99
Ru  0.7500  0.7500  0.7500  4 Pa 2.99, 4 Tm 2.99
Pt  0.2500  0.2500  0.2500  4 Pa 2.99, 4 Tm 2.99
Pt  0.2500  0.7500  0.7500  4 Pa 2.99, 4 Tm 2.99
Pt  0.7500  0.2500  0.7500  4 Pa 2.99, 4 Tm 2.99
Pt  0.7500  0.7500  0.2500  4 Pa 2.99, 4 Tm 2.99

[4]
A plane-wave DFT calculation with PBE-GGA was carried out for an optimized crystal structure of Pm2Dy6Y3Pu.

Computed properties:
Symmetry: C2/m, No. 12

a = 6.1680 Å, b = 6.1680 Å, c = 11.7547 Å
α = 95.03°, β = 95.03°, γ = 120.05°
Last column: nearest neighbours and their distance in Å.
Fractional positions:
Pm  0.1665  0.8335  0.0000  6 Dy 3.55, 3 Pu 3.56, 3 Pm 3.56
Pm  0.8335  0.1665  0.0000  6 Dy 3.55, 3 Pu 3.56, 3 Pm 3.56
Dy  0.0885  0.4175  0.7507  6 Dy 3.51-3.59, 1 Pu 3.53, 3 Y 3.55-3.57, 2 Pm 3.55
Dy  0.2534  0.2534  0.2494  6 Dy 3.51-3.59, 1 Pu 3.53, 3 Y 3.55-3.57, 2 Pm 3.55
Dy  0.4175  0.0885  0.7507  6 Dy 3.51-3.59, 1 Pu 3.53, 3 Y 3.55-3.57, 2 Pm 3.55
Dy  0.5825  0.9115  0.2493  6 Dy 3.51-3.59, 1 Pu 3.53, 3 Y 3.55-3.57, 2 Pm 3.55
Dy  0.7466  0.7466  0.7506  6 Dy 3.51-3.59, 1 Pu 3.53, 3 Y 3.55-3.57, 2 Pm 3.55
Dy  0.9115  0.5825  0.2493  6 Dy 3.51-3.59, 1 Pu 3.53, 3 Y 3.55-3.57, 2 Pm 3.55
Y  0.0000  0.0000  0.5000  6 Dy 3.55-3.57, 6 Y 3.56
Y  0.3332  0.6668  0.5000  6 Dy 3.55-3.57, 6 Y 3.56
Y  0.6668  0.3332  0.5000  6 Dy 3.55-3.57, 6 Y 3.56
Pu  0.5000  0.5000  0.0000  6 Dy 3.53, 6 Pm 3.56

[5]
A plane-wave DFT calculation with PBE-GGA was carried out for an optimized crystal structure of Ac3ZrO6.

Computed properties:
Symmetry: R-3, No. 148

a = 7.1994 Å, b = 7.1994 Å, c = 7.1994 Å
α = 93.62°, β = 93.62°, γ = 93.62°
Last column: nearest neighbours and their distance in Å.
Fractional positions:
Ac  0.0637  0.7594  0.5734  6 O 2.49-2.65
Ac  0.2406  0.4266  0.9363  6 O 2.49-2.65
Ac  0.4266  0.9363  0.2406  6 O 2.49-2.65
Ac  0.5734  0.0637  0.7594  6 O 2.49-2.65
Ac  0.7594  0.5734  0.0637  6 O 2.49-2.65
Ac  0.9363  0.2406  0.4266  6 O 2.49-2.65
Zr  0.0000  0.0000  0.0000  6 O 2.18
Zr  0.5000  0.5000  0.5000  6 O 2.20
O  0.0483  0.7115  0.9180  1 Zr 2.18
O  0.0820  0.9517  0.2885  1 Zr 2.18
O  0.2095  0.4421  0.5692  1 Zr 2.20
O  0.2885  0.0820  0.9517  1 Zr 2.18
O  0.4308  0.7905  0.5579  1 Zr 2.20
O  0.4421  0.5692  0.2095  1 Zr 2.20
O  0.5579  0.4308  0.7905  1 Zr 2.20
O  0.5692  0.2095  0.4421  1 Zr 2.20
O  0.7115  0.9180  0.0483  1 Zr 2.18
O  0.7905  0.5579  0.4308  1 Zr 2.20
O  0.9180  0.0483  0.7115  1 Zr 2.18
O  0.9517  0.2885  0.0820  1 Zr 2.18

[6]
A plane-wave DFT calculation with PBE-GGA was carried out for an optimized crystal structure of Sc2AlCl.

Computed properties:
Symmetry: P4mm, No. 99

a = 3.1951 Å, b = 3.1951 Å, c = 9.5575 Å
α = 90.00°, β = 90.00°, γ = 90.00°
Last column: nearest neighbours and their distance in Å.
Fractional positions:
Sc  0.0000  0.0000  0.0000  4 Cl 2.72
Sc  0.5000  0.5000  0.2567  4 Al 2.88, 4 Sc 3.20
Al  0.0000  0.0000  0.4440  4 Sc 2.88, 4 Al 3.20
Cl  0.5000  0.5000  0.8414  4 Sc 2.72

[7]
A plane-wave DFT calculation with PBE-GGA was carried out for an optimized crystal structure of SnO.

Computed properties:
Symmetry: P3m1, No. 156

a = 3.3917 Å, b = 3.3917 Å, c = 4.0055 Å
α = 90.00°, β = 90.00°, γ = 120.00°
Last column: nearest neighbours and their distance in Å.
Fractional positions:
Sn  0.0000  0.0000  0.0000  3 O 2.22
O  0.6667  0.3333  0.2586  3 Sn 2.22

[8]
A plane-wave DFT calculation with PBE-GGA was carried out for an optimized crystal structure of AcPr8Er3.

Computed properties:
Symmetry: C2, No. 5

a = 8.7679 Å, b = 8.7679 Å, c = 11.1844 Å
α = 129.53°, β = 129.53°, γ = 43.12°
Last column: nearest neighbours and their distance in Å.
Fractional positions:
Ac  0.0000  0.0000  0.0000  2 Er 3.68, 10 Pr 3.71-3.79
Pr  0.0844  0.4250  0.0885  7 Pr 3.62-3.74, 4 Er 3.63-3.73, 1 Ac 3.72
Pr  0.0840  0.4250  0.4210  7 Pr 3.63-3.73, 4 Er 3.63-3.73, 1 Ac 3.72
Pr  0.4970  0.5029  0.1673  7 Pr 3.62-3.79, 3 Er 3.71-3.72, 2 Ac 3.71-3.74
Pr  0.4971  0.5030  0.8327  7 Pr 3.62-3.79, 3 Er 3.71-3.72, 2 Ac 3.71-3.74
Pr  0.5750  0.9160  0.5790  7 Pr 3.63-3.73, 4 Er 3.63-3.73, 1 Ac 3.72
Pr  0.5750  0.9156  0.9115  7 Pr 3.62-3.74, 4 Er 3.63-3.73, 1 Ac 3.72
Pr  0.9902  0.0101  0.3390  4 Er 3.60-3.75, 7 Pr 3.60-3.79, 1 Ac 3.79
Pr  0.9899  0.0098  0.6610  4 Er 3.60-3.75, 7 Pr 3.60-3.79, 1 Ac 3.79
Er  0.0751  0.4186  0.7469  10 Pr 3.60-3.73, 1 Er 3.62, 1 Ac 3.68
Er  0.4999  0.5001  0.5000  2 Er 3.62, 10 Pr 3.63-3.75
Er  0.5814  0.9249  0.2531  10 Pr 3.60-3.73, 1 Er 3.62, 1 Ac 3.68

[9]
A plane-wave DFT calculation with PBE-GGA was carried out for an optimized crystal structure of Pr3Ga4Sn.

Computed properties:
Symmetry: Immm, No. 71

a = 4.4990 Å, b = 6.2933 Å, c = 15.4176 Å
α = 90.00°, β = 90.00°, γ = 90.00°
Last column: nearest neighbours and their distance in Å.
Fractional positions:
Pr  0.0000  0.0000  0.0000  8 Ga 3.25
Pr  0.0000  0.5000  0.1894  6 Ga 3.07-3.09
Pr  0.0000  0.5000  0.8106  6 Ga 3.07-3.09
Pr  0.5000  0.0000  0.3106  6 Ga 3.07-3.09
Pr  0.5000  0.0000  0.6894  6 Ga 3.07-3.09
Pr  0.5000  0.5000  0.5000  8 Ga 3.25
Ga  0.0000  0.3016  0.3713  1 Ga 2.50, 1 Sn 2.75
Ga  0.0000  0.3016  0.6287  1 Ga 2.50, 1 Sn 2.75
Ga  0.0000  0.6984  0.3713  1 Ga 2.50, 1 Sn 2.75
Ga  0.0000  0.6984  0.6287  1 Ga 2.50, 1 Sn 2.75
Ga  0.5000  0.1984  0.1287  1 Ga 2.50, 1 Sn 2.75
Ga  0.5000  0.1984  0.8713  1 Ga 2.50, 1 Sn 2.75
Ga  0.5000  0.8016  0.1287  1 Ga 2.50, 1 Sn 2.75
Ga  0.5000  0.8016  0.8713  1 Ga 2.50, 1 Sn 2.75
Sn  0.0000  0.0000  0.5000  4 Ga 2.75
Sn  0.5000  0.5000  0.0000  4 Ga 2.75

[10]
A plane-wave DFT calculation with PBE-GGA was carried out for an optimized crystal structure of InSb2P.

Computed properties:
Symmetry: P4/mmm, No. 123

a = 3.5239 Å, b = 3.5239 Å, c = 7.7637 Å
α = 90.00°, β = 90.00°, γ = 90.00°
Last column: nearest neighbours and their distance in Å.
Fractional positions:
In  0.0000  0.0000  0.0000  8 Sb 3.37, 4 In 3.52
Sb  0.5000  0.5000  0.2922  4 P 2.97, 1 Sb 3.23
Sb  0.5000  0.5000  0.7078  4 P 2.97, 1 Sb 3.23
P  0.0000  0.0000  0.5000  8 Sb 2.97

[11]
A plane-wave DFT calculation with PBE-GGA was carried out for an optimized crystal structure of PmPr2Pd4.

Computed properties:
Symmetry: I4/mmm, No. 139

a = 5.1566 Å, b = 5.1566 Å, c = 15.1024 Å
α = 90.00°, β = 90.00°, γ = 90.00°
Last column: nearest neighbours and their distance in Å.
Fractional positions:
Pm  0.0000  0.0000  0.0000  6 Pd 2.58-2.76
Pm  0.5000  0.5000  0.5000  6 Pd 2.58-2.76
Pr  0.0000  0.0000  0.3649  1 Pd 2.75
Pr  0.0000  0.0000  0.6351  1 Pd 2.75
Pr  0.5000  0.5000  0.1351  1 Pd 2.75
Pr  0.5000  0.5000  0.8649  1 Pd 2.75
Pd  0.0000  0.0000  0.1827  1 Pr 2.75, 1 Pm 2.76
Pd  0.0000  0.0000  0.8173  1 Pr 2.75, 1 Pm 2.76
Pd  0.0000  0.5000  0.0000  2 Pm 2.58
Pd  0.0000  0.5000  0.5000  2 Pm 2.58
Pd  0.5000  0.0000  0.0000  2 Pm 2.58
Pd  0.5000  0.0000  0.5000  2 Pm 2.58
Pd  0.5000  0.5000  0.3173  1 Pr 2.75, 1 Pm 2.76
Pd  0.5000  0.5000  0.6827  1 Pr 2.75, 1 Pm 2.76

[12]
A plane-wave DFT calculation with PBE-GGA was carried out for an optimized crystal structure of KZnCuRh2.

Computed properties:
Symmetry: P4/mmm, No. 123

a = 4.6803 Å, b = 4.6803 Å, c = 5.3689 Å
α = 90.00°, β = 90.00°, γ = 90.00°
Last column: nearest neighbours and their distance in Å.
Fractional positions:
K  0.0000  0.0000  0.0000  2 Zn 2.68
Zn  0.0000  0.0000  0.5000  4 Rh 2.34
Cu  0.5000  0.5000  0.0000  4 K 3.31, 8 Rh 3.56
Rh  0.0000  0.5000  0.5000  2 Zn 2.34
Rh  0.5000  0.0000  0.5000  2 Zn 2.34

no.,uncorrected energy (Ry per atom)
1,-0.270
2,-0.639
3,-0.588
4,-0.430
5,-0.606
6,-0.376
7,-0.402
8,-0.340
9,-0.310
10,-0.279
11,-0.380
12,-0.232